Density functional theory data (PBE+U) for crystalline Rb4Nd3MnO8 at its relaxed geometry.

Cell lengths 12.753, 7.000, 7.692 Å; angles 90.00, 120.55, 90.00 degrees
Space group C2/m (No. 12)
Inequivalent atoms, fractional coordinates:
Rb  0.000  0.000  0.000 [2 per cell]
Rb  0.000  0.500  0.000 [2 per cell]
Rb  0.250  0.250  0.000 [4 per cell]
Nd  0.000  0.000  0.500 [2 per cell]
Nd  0.250  0.250  0.500 [4 per cell]
Mn  0.000  0.500  0.500 [2 per cell]
O  0.024  0.287  0.343 [8 per cell]
O  0.218  0.000  0.682 [4 per cell]
O  0.238  0.000  0.286 [4 per cell]

Properties
The total energy is -201.696 eV/cell. The volume is 18.5 Å³ per atom. As for the size of the total moment: 8.1 μB/cell.